[1]
A plane-wave DFT calculation with meta-GGA SCAN was carried out for CaHoCo2O6 at its PBEsol-relaxed geometry.

a b c (Å): 5.103 5.336 7.277
angles (deg): 90.00 90.00 90.00
Last column: magnetic moment on the atom in μB.
Positions (direct):
Ho  0.980  0.320  0.000  0.01
Ho  0.480  0.680  0.500  0.01
Co  0.000  0.756  0.750  0.29
Co  0.500  0.244  0.750  0.29
Co  0.500  0.244  0.250  0.29
Co  0.000  0.756  0.250  0.29
O  0.202  0.457  0.294  0.03
O  0.806  0.052  0.203  0.07
O  0.904  0.769  0.500  0.08
O  0.702  0.543  0.794  0.03
O  0.202  0.457  0.706  0.03
O  0.582  0.274  0.500  0.08
O  0.404  0.231  0.000  0.08
O  0.806  0.052  0.797  0.07
O  0.702  0.543  0.206  0.03
O  0.306  0.948  0.703  0.07
O  0.082  0.726  0.000  0.08
O  0.306  0.948  0.297  0.07
Ca  0.514  0.808  0.000  0.00
Ca  0.014  0.192  0.500  0.00

Results
- SG: Pmn2_1
- E: -308.83 eV for the cell shown
- DOS(E_F): 0.491 states/eV/atom
- Mass density: 7.02 Mg/m³



[2]
A plane-wave DFT calculation with meta-GGA SCAN was carried out for Li3Sb2P3O12 at its PBEsol-relaxed geometry.

a b c (Å): 8.703 8.703 9.527
angles (deg): 62.82 62.82 60.00
Positions (direct):
O  0.611  0.107  0.081
O  0.836  0.255  0.715
O  0.407  0.013  0.370
O  0.255  0.195  0.715
O  0.987  0.790  0.630
O  0.491  0.161  0.826
O  0.013  0.210  0.370
O  0.201  0.611  0.081
O  0.522  0.491  0.826
O  0.478  0.509  0.174
O  0.107  0.201  0.081
O  0.195  0.836  0.715
O  0.805  0.164  0.285
O  0.509  0.839  0.174
O  0.164  0.745  0.285
O  0.839  0.478  0.174
O  0.210  0.407  0.370
O  0.799  0.389  0.919
O  0.593  0.987  0.630
O  0.745  0.805  0.285
O  0.790  0.593  0.630
O  0.161  0.522  0.826
O  0.893  0.799  0.919
O  0.389  0.893  0.919
Sb  0.659  0.659  0.022
Sb  0.160  0.160  0.520
Sb  0.840  0.840  0.480
Sb  0.341  0.341  0.978
Li  0.937  0.668  0.138
Li  0.256  0.937  0.138
Li  0.744  0.063  0.862
Li  0.063  0.332  0.862
Li  0.332  0.744  0.862
Li  0.668  0.256  0.138
P  0.429  0.062  0.769
P  0.571  0.938  0.231
P  0.260  0.571  0.231
P  0.938  0.260  0.231
P  0.062  0.740  0.769
P  0.740  0.429  0.769

Results
- SG: R-3
- E: -464.24 eV for the cell shown
- DOS(E_F): 0.000 states/eV/atom
- Mass density: 3.44 Mg/m³



[3]
A plane-wave DFT calculation with meta-GGA SCAN was carried out for TcAgC3 at its PBEsol-relaxed geometry.

a b c (Å): 3.983 3.983 3.983
angles (deg): 90.00 90.00 90.00
Positions (direct):
C  0.000  0.000  0.500
C  0.500  0.000  0.000
C  0.000  0.500  0.000
Ag  0.500  0.500  0.500
Tc  0.000  0.000  0.000

Results
- SG: Pm-3m
- DOS(E_F): 0.382 states/eV/atom
- ΔH_f (0 K): 1915 meV/atom
- Mass density: 6.36 Mg/m³



[4]
A plane-wave DFT calculation with meta-GGA SCAN was carried out for NaP2PbS at its PBEsol-relaxed geometry.

a b c (Å): 5.220 5.220 5.311
angles (deg): 90.00 90.00 90.00
Last column: magnetic moment on the atom in μB.
Positions (direct):
S  0.000  0.000  0.500  0.27
P  0.000  0.500  0.000  0.57
P  0.500  0.000  0.000  0.57
Pb  0.000  0.000  0.000  0.00
Na  0.500  0.500  0.500  0.00

Results
- SG: P4/mmm
- E: -107.02 eV for the cell shown
- DOS(E_F): 0.490 states/eV/atom
- Mass density: 3.72 Mg/m³



[5]
A plane-wave DFT calculation with meta-GGA SCAN was carried out for Cu2Ir at its PBEsol-relaxed geometry.

a b c (Å): 2.626 4.967 6.176
angles (deg): 105.01 90.00 105.33
Positions (direct):
Cu  0.339  0.679  0.668
Cu  0.996  0.993  0.010
Cu  0.668  0.337  0.331
Cu  0.387  0.773  0.277
Ir  0.057  0.115  0.605
Ir  0.718  0.437  0.943

Results
- SG: Cm
- DOS(E_F): 0.721 states/eV/atom
- ΔH_f (0 K): 67 meV/atom
- Mass density: 14.17 Mg/m³



[6]
A plane-wave DFT calculation with meta-GGA SCAN was carried out for K2AgBi2 at its PBEsol-relaxed geometry.

a b c (Å): 5.800 7.518 7.518
angles (deg): 90.00 90.00 90.00
Positions (direct):
Bi  0.000  0.147  0.353
Bi  0.000  0.647  0.147
Bi  0.000  0.853  0.647
Bi  0.000  0.353  0.853
Ag  0.000  0.500  0.500
Ag  0.000  0.000  0.000
K  0.500  0.665  0.835
K  0.500  0.835  0.335
K  0.500  0.165  0.665
K  0.500  0.335  0.165

Results
- SG: P4/mbm
- DOS(E_F): 0.519 states/eV/atom
- ΔH_f (0 K): -281 meV/atom
- Mass density: 6.12 Mg/m³



[7]
A plane-wave DFT calculation with meta-GGA SCAN was carried out for NiAu3 at its PBEsol-relaxed geometry.

a b c (Å): 3.947 3.947 3.947
angles (deg): 90.00 90.00 90.00
Last column: magnetic moment on the atom in μB.
Positions (direct):
Au  0.000  0.500  0.000  0.00
Au  0.000  0.000  0.500  0.00
Au  0.500  0.000  0.000  0.00
Ni  0.500  0.500  0.500  0.33

Results
- SG: Pm-3m
- DOS(E_F): 0.798 states/eV/atom
- ΔH_f (0 K): 102 meV/atom
- Mass density: 17.55 Mg/m³



[8]
A plane-wave DFT calculation with meta-GGA SCAN was carried out for LiHgAs2 at its PBEsol-relaxed geometry.

a b c (Å): 3.546 5.035 4.912
angles (deg): 99.47 90.00 110.62
Positions (direct):
As  0.751  0.501  0.819
As  0.249  0.499  0.181
Li  0.500  0.000  0.000
Hg  0.000  0.000  0.500

Results
- SG: C2/m
- DOS(E_F): 0.223 states/eV/atom
- ΔH_f (0 K): -151 meV/atom
- Mass density: 7.34 Mg/m³